Material: LaAg3S3
Method: DFT, PBE-GGA
State: relaxed

abc: 8.0663 8.0663 8.0663
angles: 54.50 54.50 54.50
With the nearest neighbours (Å) after each atom.
Element x y z (fractional)
La1 0.1663 0.1663 0.1663  6 S 2.90-2.91
La2 0.8337 0.8337 0.8337  6 S 2.90-2.91
Ag1 0.0547 0.7027 0.3764  4 S 2.60-2.73
Ag2 0.2973 0.6236 0.9453  4 S 2.60-2.73
Ag3 0.3764 0.0547 0.7027  4 S 2.60-2.73
Ag4 0.6236 0.9453 0.2973  4 S 2.60-2.73
Ag5 0.7027 0.3764 0.0547  4 S 2.60-2.73
Ag6 0.9453 0.2973 0.6236  4 S 2.60-2.73
S1 0.0750 0.4234 0.7669  4 Ag 2.60-2.73, 2 La 2.90-2.91
S2 0.2331 0.9250 0.5766  4 Ag 2.60-2.73, 2 La 2.90-2.91
S3 0.4234 0.7669 0.0750  4 Ag 2.60-2.73, 2 La 2.90-2.91
S4 0.5766 0.2331 0.9250  4 Ag 2.60-2.73, 2 La 2.90-2.91
S5 0.7669 0.0750 0.4234  4 Ag 2.60-2.73, 2 La 2.90-2.91
S6 0.9250 0.5766 0.2331  4 Ag 2.60-2.73, 2 La 2.90-2.91

Computed properties:
Formation energy from raw total energies: -0.8022 eV/atom
Space-group type: R-3, No. 148

***

Material: LiBe
Method: DFT, PBE-GGA
State: relaxed

abc: 7.1609 6.6346 4.1662
angles: 79.48 65.63 34.89
With the nearest neighbours (Å) after each atom.
Element x y z (fractional)
Li1 0.0408 0.7092 0.0408  3 Li 2.33-2.54, 4 Be 2.41-2.58
Li2 0.2908 0.9592 0.2908  3 Li 2.33-2.54, 4 Be 2.41-2.58
Li3 0.7092 0.0408 0.7092  3 Li 2.33-2.54, 4 Be 2.41-2.58
Li4 0.9592 0.2908 0.9592  3 Li 2.33-2.54, 4 Be 2.41-2.58
Be1 0.2891 0.2891 0.4609  3 Be 2.14-2.30
Be2 0.4609 0.4609 0.2891  3 Be 2.14-2.30
Be3 0.5391 0.5391 0.7109  3 Be 2.14-2.30
Be4 0.7109 0.7109 0.5391  3 Be 2.14-2.30

Computed properties:
Formation energy: 0.297 eV/atom
Space-group type: Fddd, No. 70
DOS at the Fermi energy: 0.6 states/eV/f.u.

***

E for every record listed, in sequence, given in eV/atom: -4.50 -2.52.